(1)
Computed, not measured: crystalline Nd4InGe at its relaxed geometry at the PBE level of DFT.

abc: 11.4785 11.4785 6.4731
angles: 90.00 90.00 152.12
Fractional coordinates of all 12 atoms:
Nd (0.0689, 0.9311, 0.7500)
Nd (0.2112, 0.7888, 0.5042)
Nd (0.2112, 0.7888, 0.9958)
Nd (0.3706, 0.6294, 0.7500)
Nd (0.6294, 0.3706, 0.2500)
Nd (0.7888, 0.2112, 0.0042)
Nd (0.7888, 0.2112, 0.4958)
Nd (0.9311, 0.0689, 0.2500)
In (0.0707, 0.9293, 0.2500)
In (0.9293, 0.0707, 0.7500)
Ge (0.3386, 0.6614, 0.2500)
Ge (0.6614, 0.3386, 0.7500)

Output
As for the crystal system: orthorhombic. The space-group type is Cmcm (63). The calculation puts the excess energy over the best structure of this formula in the dataset at 256.7 meV/atom. As for the total energy: -55.20 eV per cell. Its formation energy is -0.20 eV per atom.


(2)
Computed, not measured: crystalline NdInGe at its relaxed geometry at the PBE level of DFT.

abc: 4.4279 4.4279 4.6226
angles: 90.00 90.00 120.00
Fractional coordinates of all 3 atoms:
Nd (0.0000, 0.0000, 0.0000)
In (0.3333, 0.6667, 0.5693)
Ge (0.6667, 0.3333, 0.3543)

Output
As for the crystal system: trigonal. The space-group type is P3m1 (156). As for the total energy: -13.73 eV per cell. Its formation energy is -0.54 eV per atom.


(3)
Computed, not measured: crystalline Nd5In2Ge at its relaxed geometry at the PBE level of DFT.

abc: 6.9829 13.2330 5.2148
angles: 90.00 90.00 90.00
Fractional coordinates of all 16 atoms:
Nd (0.0000, 0.0000, 0.0000)
Nd (0.1293, 0.2822, 0.0000)
Nd (0.1712, 0.5875, 0.5000)
Nd (0.3288, 0.0875, 0.5000)
Nd (0.3707, 0.7822, 0.0000)
Nd (0.5000, 0.5000, 0.0000)
Nd (0.6293, 0.2178, 0.0000)
Nd (0.6712, 0.9125, 0.5000)
Nd (0.8288, 0.4125, 0.5000)
Nd (0.8707, 0.7178, 0.0000)
In (0.1156, 0.8432, 0.5000)
In (0.3844, 0.3432, 0.5000)
In (0.6156, 0.6568, 0.5000)
In (0.8844, 0.1568, 0.5000)
Ge (0.0000, 0.5000, 0.0000)
Ge (0.5000, 0.0000, 0.0000)

Output
As for the crystal system: orthorhombic. The space-group type is Pbam (55). As for the total energy: -75.36 eV per cell. Its formation energy is -0.47 eV per atom.


(4)
Computed, not measured: crystalline Nd12InGe5 at its relaxed geometry at the PBE level of DFT.

abc: 8.8471 8.8471 8.8471
angles: 112.06 110.54 105.88
Fractional coordinates of all 18 atoms:
Nd (0.0395, 0.2367, 0.8028)
Nd (0.1799, 0.2707, 0.4506)
Nd (0.1799, 0.7293, 0.9091)
Nd (0.3230, 0.0292, 0.7062)
Nd (0.3230, 0.6169, 0.2938)
Nd (0.4338, 0.2367, 0.1972)
Nd (0.5662, 0.7633, 0.8028)
Nd (0.6770, 0.3831, 0.7062)
Nd (0.6770, 0.9708, 0.2938)
Nd (0.8201, 0.2707, 0.0909)
Nd (0.8201, 0.7293, 0.5494)
Nd (0.9605, 0.7633, 0.1972)
In (0.5000, 0.5000, 0.0000)
Ge (0.0000, 0.0000, 0.0000)
Ge (0.1188, 0.6188, 0.5000)
Ge (0.3685, 0.0000, 0.3685)
Ge (0.6315, 0.0000, 0.6315)
Ge (0.8812, 0.3812, 0.5000)

Output
As for the crystal system: orthorhombic. The space-group type is Immm (71). As for the total energy: -92.95 eV per cell. Its formation energy is -0.55 eV per atom.


(5)
Computed, not measured: crystalline Nd5InGe2 at its relaxed geometry at the PBE level of DFT.

abc: 9.2303 9.2303 9.2303
angles: 128.34 128.34 76.07
Fractional coordinates of all 16 atoms:
Nd (0.0000, 0.0000, 0.0000)
Nd (0.0278, 0.5278, 0.8366)
Nd (0.1912, 0.0278, 0.5000)
Nd (0.3088, 0.8088, 0.8366)
Nd (0.4722, 0.3088, 0.5000)
Nd (0.5000, 0.5000, 0.0000)
Nd (0.5278, 0.6912, 0.5000)
Nd (0.6912, 0.1912, 0.1634)
Nd (0.8088, 0.9722, 0.5000)
Nd (0.9722, 0.4722, 0.1634)
In (0.2500, 0.2500, 0.0000)
In (0.7500, 0.7500, 0.0000)
Ge (0.1321, 0.3679, 0.5000)
Ge (0.3679, 0.8679, 0.2358)
Ge (0.6321, 0.1321, 0.7642)
Ge (0.8679, 0.6321, 0.5000)

Output
As for the crystal system: tetragonal. The space-group type is I4/mcm (140). As for the total energy: -81.27 eV per cell. Its formation energy is -0.60 eV per atom.


(6)
Computed, not measured: crystalline Nd2In3Ge at its relaxed geometry at the PBE level of DFT.

abc: 4.0856 4.7883 8.1491
angles: 90.00 90.00 90.00
Fractional coordinates of all 6 atoms:
Nd (0.0000, 0.0000, 0.0000)
Nd (0.0000, 0.5000, 0.4654)
In (0.5000, 0.0000, 0.6367)
In (0.5000, 0.5000, 0.1521)
In (0.5000, 0.5000, 0.8104)
Ge (0.5000, 0.0000, 0.3083)

Output
As for the crystal system: orthorhombic. The space-group type is Pmm2 (25). As for the total energy: -25.08 eV per cell. Its formation energy is -0.45 eV per atom.